K3Tb2CrSe6 | PBE-GGA | relaxed

abc: 7.108 7.108 8.026
angles: 98.55 98.55 120.04
Site moments in Bohr magnetons follow the coordinates.
Fractional positions:
1 K 0.171 0.829 0.500  0.00
2 K 0.829 0.171 0.500  0.00
3 K 0.500 0.500 0.500  0.00
4 Tb 0.334 0.666 0.000  0.02
5 Tb 0.666 0.334 0.000  0.02
6 Cr 0.000 0.000 0.000  3.05
7 Se 0.934 0.626 0.803  -0.04
8 Se 0.759 0.759 0.198  -0.04
9 Se 0.066 0.374 0.197  -0.04
10 Se 0.626 0.934 0.803  -0.04
11 Se 0.241 0.241 0.802  -0.04
12 Se 0.374 0.066 0.197  -0.04

## Properties
ρ: 4.76 g/cm³
SG: C2/m, No. 12
total DFT energy (no corrections): -5.000 eV/atom
formation energy (no corrections): -1.410 eV/atom